Record 1
This record from the Open Quantum Materials Database describes a relaxed HoFePd crystal. The functional is GGA-PBE.

Unit cell a=4.414 b=4.414 c=6.434 alpha=90.00 beta=90.00 gamma=90.00
Fractional positions:
1 Ho 0.500 0.500 0.000
2 Fe 0.000 0.500 0.337
3 Fe 0.500 0.000 0.663
4 Pd 0.500 0.000 0.284
5 Ho 0.000 0.000 0.000
6 Pd 0.000 0.500 0.716

Calculated values
Calculated formation energy ... 69 kJ/mol of formula units



Record 2
This record from the Open Quantum Materials Database describes a relaxed PrHoFe crystal. The functional is GGA-PBE.

Unit cell a=4.748 b=4.748 c=4.748 alpha=60.00 beta=60.00 gamma=60.00
Fractional positions:
1 Pr 0.750 0.750 0.750
2 Ho 0.250 0.250 0.250
3 Fe 0.000 0.000 0.000

Calculated values
Calculated formation energy ... 75 kJ/mol of formula units



Record 3
This record from the Open Quantum Materials Database describes a relaxed Ho2FeSi4Pt crystal. The functional is GGA-PBE.

Unit cell a=4.067 b=8.597 c=8.597 alpha=27.16 beta=90.00 gamma=90.00
Fractional positions:
1 Si 0.500 0.032 0.032
2 Ho 0.000 0.602 0.602
3 Si 0.000 0.259 0.259
4 Si 0.000 0.955 0.955
5 Si 0.500 0.760 0.760
6 Fe 0.000 0.822 0.822
7 Pt 0.500 0.174 0.174
8 Ho 0.500 0.396 0.396



| no. | raw total energy (eV for the cell shown) |
| --- | --- |
| 1 | -34.69 |
| 2 | -16.89 |
| 3 | -51.58 |